[1]
The following is a DFT calculation (PBE) of crystalline Pr3Nd2Ho at its relaxed geometry.

```
Pr3Nd2Ho
1.0
3.5385 0.0000 0.6362
1.5865 6.6945 1.3344
-1.3763 0.2856 17.8133
Pr Nd Ho
6 4 2
direct
0.0623 0.0435 0.8320
0.9377 0.9565 0.1680
0.6257 0.7404 0.0082
0.3743 0.2596 0.9918
0.7295 0.8765 0.6645
0.2705 0.1235 0.3355
0.8014 0.5618 0.8353
0.1986 0.4382 0.1647
0.6305 0.2389 0.5001
0.3695 0.7611 0.4999
0.4571 0.4056 0.6801
0.5429 0.5944 0.3199
```

**Energy relative to the lowest polymorph listed for this composition**: 0.000 eV per formula unit
**N(E_F)**: 20.331 states/eV per cell
**Formation energy**: 105 meV per atom
**Space group**: C2/m (12)

***

[2]
The following is a DFT calculation (PBE) of crystalline Tb4Sb2TeP at its relaxed geometry.

```
Tb4Sb2TeP
1.0
4.2881 0.0000 0.0000
0.0000 7.4392 -0.1567
0.0000 2.6095 7.0104
Tb Sb Te P
4 2 1 1
direct
0.0000 0.7448 0.7345
0.0000 0.2552 0.2655
0.5000 0.7347 0.2699
0.5000 0.2653 0.7301
0.0000 0.0000 0.0000
0.5000 0.0000 0.5000
0.5000 0.5000 0.0000
0.0000 0.5000 0.5000
```

**N(E_F)**: 1.702 states/eV per cell
**Space group**: P2/m (10)

***

[3]
The following is a DFT calculation (PBE) of crystalline NaAcSiS4 at its relaxed geometry.

```
NaAcSiS4
1.0
6.6710 0.0000 -0.0181
0.0000 6.7005 0.0000
-2.6272 0.0000 7.5948
Na Ac Si S
2 2 2 8
direct
0.7797 0.7500 0.4497
0.2203 0.2500 0.5503
0.7315 0.7500 0.9304
0.2685 0.2500 0.0696
0.2326 0.7500 0.3090
0.7674 0.2500 0.6910
0.9822 0.4968 0.7581
0.0178 0.9968 0.2419
0.0178 0.5032 0.2419
0.9822 0.0032 0.7581
0.4137 0.7500 0.1287
0.5863 0.2500 0.8713
0.4136 0.7500 0.5768
0.5864 0.2500 0.4232
```

**N(E_F)**: 0.000 states/eV per cell
**Space group**: P2_1/m (11)

***

[4]
The following is a DFT calculation (PBE) of crystalline GaHg2H2 at its relaxed geometry.

```
GaHg2H2
1.0
3.3451 0.0000 0.0000
0.0000 6.0882 -0.1735
0.0000 0.2483 17.1264
Ga Hg H
4 8 8
direct
0.7549 0.5819 0.7426
0.2451 0.4181 0.2574
0.7451 0.0819 0.7426
0.2549 0.9181 0.2574
0.7506 0.3436 0.8828
0.7494 0.8436 0.8828
0.2506 0.1564 0.1172
0.2494 0.6564 0.1172
0.8218 0.3471 0.5758
0.6782 0.8471 0.5758
0.3218 0.1529 0.4242
0.1782 0.6529 0.4242
0.2507 0.3418 0.9342
0.2493 0.8418 0.9342
0.7507 0.1582 0.0658
0.7493 0.6582 0.0658
0.2452 0.0887 0.7055
0.2548 0.5887 0.7055
0.7452 0.4113 0.2945
0.7548 0.9113 0.2945
```

**Energy relative to the lowest polymorph listed for this composition**: 0.931 eV per formula unit
**N(E_F)**: 2.314 states/eV per cell
**Space group**: P2_1/c (14)

***

[5]
The following is a DFT calculation (PBE) of crystalline Ce5PuBi at its relaxed geometry.

```
Ce5PuBi
1.0
6.1132 -0.1303 1.4800
-1.7787 5.8349 1.5391
-0.1168 -0.4853 11.0954
Ce Pu Bi
10 2 2
direct
0.8993 0.5467 0.2782
0.0485 0.2742 0.5007
0.6751 0.8225 0.7782
0.8704 0.1204 0.2500
0.2749 0.5493 0.9993
0.7251 0.4507 0.0007
0.1296 0.8796 0.7500
0.3249 0.1775 0.2218
0.9515 0.7258 0.4993
0.1007 0.4533 0.7218
0.0000 0.0000 0.0000
0.5000 0.0000 0.5000
0.4489 0.6989 0.2500
0.5511 0.3011 0.7500
```

**N(E_F)**: 40.112 states/eV per cell
**Formation energy**: -3 meV per atom
**Space group**: C2/c (15)

***

[6]
The following is a DFT calculation (PBE) of crystalline TlBiTeCl2 at its relaxed geometry.

```
TlBiTeCl2
1.0
4.3829 0.0000 0.0000
-2.1914 8.8870 0.0000
0.0000 0.0000 8.8852
Tl Bi Te Cl
2 2 2 4
direct
0.7295 0.4590 0.7500
0.2705 0.5410 0.2500
0.0000 0.0000 0.0000
0.0000 0.0000 0.5000
0.4638 0.9275 0.7500
0.5362 0.0725 0.2500
0.1526 0.3052 0.9612
0.8474 0.6948 0.0388
0.1526 0.3052 0.5388
0.8474 0.6948 0.4612
```

**Space group**: Cmcm (63)

***

[7]
The following is a DFT calculation (PBE) of crystalline TiSbPdRh at its relaxed geometry.

```
TiSbPdRh
1.0
4.5442 0.0000 0.0000
2.2721 3.9354 0.0000
2.2721 1.3118 3.7103
Sb Rh Pd Ti
1 1 1 1
direct
0.7500 0.7500 0.7500
0.0000 0.0000 0.0000
0.5000 0.5000 0.5000
0.2500 0.2500 0.2500
```

**N(E_F)**: 1.882 states/eV per cell
**Space group**: F-43m (216)

***

[8]
The following is a DFT calculation (PBE) of crystalline CeNp2Fe9 at its relaxed geometry.

```
CeNp2Fe9
1.0
4.6084 0.0000 1.3715
2.1001 4.1021 1.3715
-0.1359 -0.0831 8.8846
Ce Np Fe
1 2 9
direct
0.0000 0.0000 0.0000
0.8557 0.8557 0.4330
0.1443 0.1443 0.5670
0.6685 0.6685 0.9944
0.3315 0.3315 0.0056
0.5000 0.5000 0.5000
0.4197 0.4197 0.2450
0.9157 0.4197 0.2450
0.4197 0.9157 0.2450
0.5803 0.5803 0.7550
0.5803 0.0843 0.7550
0.0843 0.5803 0.7550
```

**N(E_F)**: 22.576 states/eV per cell
**Formation energy**: 43 meV per atom
**Space group**: R-3m (166)

***

[9]
The following is a DFT calculation (PBE) of crystalline BeOsBrF2 at its relaxed geometry.

```
BeOsBrF2
1.0
-2.5904 -3.5094 0.7857
3.0283 -1.5869 2.8956
-1.9898 2.2052 3.2895
Be Os Br F
1 1 1 2
direct
0.0000 0.5000 0.0000
0.5000 0.5000 0.5000
0.0000 0.0000 0.0000
0.0000 0.0000 0.5000
0.5000 0.0000 0.0000
```

**N(E_F)**: 1.999 states/eV per cell
**Space group**: P4/mmm (123)

***

[10]
The following is a DFT calculation (PBE) of crystalline PrSm2ReO8 at its relaxed geometry.

```
PrSm2ReO8
1.0
5.1710 -0.0097 -0.0030
0.0255 5.1706 -0.0057
0.0045 0.0078 6.9854
Pr Sm Re O
1 2 1 8
direct
0.0000 0.0000 0.5000
0.5000 0.5000 0.7514
0.5000 0.5000 0.2486
0.0000 0.0000 0.0000
0.1799 0.8199 0.1994
0.7410 0.7411 0.0000
0.8200 0.1801 0.1994
0.8201 0.1801 0.8006
0.2590 0.2589 0.0000
0.1800 0.8199 0.8006
0.6867 0.6867 0.5000
0.3133 0.3133 0.5000
```

**N(E_F)**: 0.000 states/eV per cell
**Space group**: Cmmm (65)

***

[11]
The following is a DFT calculation (PBE) of crystalline AsP3H at its relaxed geometry.

```
AsP3H
1.0
-3.1888 0.3586 2.4609
-2.4369 -1.2493 -2.9755
0.4964 -3.8293 1.2012
P As H
3 1 1
direct
0.0000 0.5000 0.0000
0.0000 0.0000 0.5000
0.5000 0.0000 0.0000
0.5000 0.5000 0.5000
0.0000 0.0000 0.0000
```

**Energy relative to the lowest polymorph listed for this composition**: 0.000 eV per formula unit
**N(E_F)**: 2.174 states/eV per cell
**Space group**: Pm-3m (221)

***

[12]
The following is a DFT calculation (PBE) of crystalline NdNbS2 at its relaxed geometry.

```
NdNbS2
1.0
3.4980 0.0000 0.0000
1.7490 3.0293 0.0000
1.7490 1.0098 8.7032
Nb Nd S
1 1 2
direct
0.5000 0.5000 0.5000
0.0000 0.0000 0.0000
0.1080 0.1080 0.6760
0.8920 0.8920 0.3240
```

**N(E_F)**: 3.918 states/eV per cell
**Space group**: R-3m (166)

***

Here are the calculated electronic total energy numbers, same order: -55.6; -45.8; -73.9; -36.1; -95.8; -33.2; -26.7; -107.5; -15.0; -98.6; -19.8; -26.4 (eV for the cell shown).